1.
## ZnCoIr2 (GGA-PBE)

Data for an optimized crystal structure of ZnCoIr2.

Symmetry: No. 65
Crystal system: orthorhombic
Total DFT energy (no corrections) in eV/atom: -6.421
DOS(E_F) in states/eV/atom: 1.25
Energy of formation in eV/f.u.: 0.4

Unit cell a=2.6979 b=2.6979 c=8.7010 alpha=90.00 beta=90.00 gamma=118.06
Sites, in units of the cell vectors:
1 Zn 0.0000 0.0000 0.0000
2 Co 0.0000 0.0000 0.5000
3 Ir 0.5000 0.5000 0.2552
4 Ir 0.5000 0.5000 0.7448


2.
## RbCdIn2Br5 (GGA-PBE)

Data for an optimized crystal structure of RbCdIn2Br5.

Symmetry: No. 140
Crystal system: tetragonal
Total DFT energy (no corrections) in eV/atom: -2.710
DOS(E_F) in states/eV/atom: 0.00
Uncorrected formation energy in eV/atom: -0.963

Unit cell a=10.2634 b=10.2634 c=10.2634 alpha=129.46 beta=129.46 gamma=74.27
Sites, in units of the cell vectors:
1 Rb 0.2500 0.2500 0.0000
2 Rb 0.7500 0.7500 0.0000
3 Cd 0.2500 0.7500 0.5000
4 Cd 0.7500 0.2500 0.5000
5 In 0.1591 0.6591 0.8183
6 In 0.3409 0.1591 0.5000
7 In 0.6591 0.8409 0.5000
8 In 0.8409 0.3409 0.1817
9 Br 0.0000 0.0000 0.0000
10 Br 0.0167 0.1878 0.5000
11 Br 0.1878 0.6878 0.1711
12 Br 0.3122 0.4833 0.5000
13 Br 0.4833 0.9833 0.1711
14 Br 0.5000 0.5000 0.0000
15 Br 0.5167 0.0167 0.8289
16 Br 0.6878 0.5167 0.5000
17 Br 0.8122 0.3122 0.8289
18 Br 0.9833 0.8122 0.5000